This record from the Alexandria database describes a geometry-optimized NaMnTc3 structure. The functional is GGA-PBE.

abc: 4.500 4.500 4.500
angles: 90.00 90.00 90.00
Fractional positions:
Na1 0.000 0.000 0.000
Mn1 0.500 0.500 0.500
Tc1 0.000 0.500 0.500
Tc2 0.500 0.000 0.500
Tc3 0.500 0.500 0.000

- ΔE_f (eV/atom) = 1.25
- SG = Pm-3m (221)
- M_tot (μB/f.u.) = 2.2
- theoretical density (Mg/m³) = 6.78